The following is a GGA-PBE calculation of a relaxed structure of Na2As2N, from Alexandria.

Results
- E_tot: -3.611 eV/atom
- Space group: No. 127
- Theoretical density: 3.8 g cm⁻³
- Density of states at the Fermi level: 0.5147 states/eV/atom
- Offset from the most stable computed form: 277.4 meV/atom

a b c (Å): 6.2212 6.2212 4.7702
angles (deg): 90.00 90.00 90.00
Last column: nearest neighbours and their distance in Å.
Fractional positions:
Na1 0.1707 0.6707 0.5000  6 As 2.87-3.11, 1 Na 3.00
Na2 0.6707 0.8293 0.5000  6 As 2.87-3.11, 1 Na 3.00
Na3 0.8293 0.3293 0.5000  6 As 2.87-3.11, 1 Na 3.00
Na4 0.3293 0.1707 0.5000  6 As 2.87-3.11, 1 Na 3.00
As1 0.3516 0.8516 0.0000  2 N 2.37, 1 As 2.61
As2 0.8516 0.6484 0.0000  2 N 2.37, 1 As 2.61
As3 0.6484 0.1484 0.0000  2 N 2.37, 1 As 2.61
As4 0.1484 0.3516 0.0000  2 N 2.37, 1 As 2.61
N1 0.0000 0.0000 0.0000  4 As 2.37
N2 0.5000 0.5000 0.0000  4 As 2.37

---

The following is a GGA-PBE calculation of a relaxed structure of Na2AlGa3Pt4, from Alexandria.

Results
- E_tot: -4.607 eV/atom
- Space group: No. 115
- Theoretical density: 9.5 g cm⁻³
- Density of states at the Fermi level: 0.3314 states/eV/atom
- Energy relative to the elements: -6.445 eV/f.u.

a b c (Å): 4.1570 4.1570 10.7918
angles (deg): 90.00 90.00 90.00
Last column: nearest neighbours and their distance in Å.
Fractional positions:
Na1 0.5000 0.0000 0.2431  6 Ga 3.16-3.46, 8 Pt 3.23-3.35, 2 Al 3.46
Na2 0.0000 0.5000 0.7569  6 Ga 3.16-3.46, 8 Pt 3.23-3.35, 2 Al 3.46
Al1 0.5000 0.5000 0.5000  4 Pt 2.53
Ga1 0.0000 0.0000 0.5000  4 Pt 2.53
Ga2 0.5000 0.0000 0.8650  5 Pt 2.50-2.54
Ga3 0.0000 0.5000 0.1350  5 Pt 2.50-2.54
Pt1 0.5000 0.5000 0.0000  4 Ga 2.54
Pt2 0.0000 0.0000 0.0000  4 Ga 2.54
Pt3 0.5000 0.0000 0.6337  3 Ga 2.50-2.53, 2 Al 2.53
Pt4 0.0000 0.5000 0.3663  3 Ga 2.50-2.53, 2 Al 2.53

---

The following is a GGA-PBE calculation of a relaxed structure of Th2Cu3Au2, from Alexandria.

Results
- E_tot: -5.188 eV/atom
- Space group: No. 12
- Theoretical density: 12.3 g cm⁻³
- Density of states at the Fermi level: 0.7176 states/eV/atom
- Energy relative to the elements: -2.633 eV/f.u.

a b c (Å): 4.4609 5.5596 6.5581
angles (deg): 106.15 90.00 113.65
Last column: nearest neighbours and their distance in Å.
Fractional positions:
Th1 0.8639 0.7277 0.2411  4 Au 3.02-3.08, 7 Cu 3.13-3.28
Th2 0.1361 0.2723 0.7589  4 Au 3.02-3.08, 7 Cu 3.13-3.28
Cu1 0.5000 0.0000 0.0000  2 Cu 2.56
Cu2 0.5916 0.1832 0.4092  2 Cu 2.50-2.56, 2 Au 2.69
Cu3 0.4084 0.8168 0.5908  2 Cu 2.50-2.56, 2 Au 2.69
Au1 0.8368 0.6735 0.7607  5 Cu 2.69-2.94
Au2 0.1632 0.3265 0.2393  5 Cu 2.69-2.94

---

The following is a GGA-PBE calculation of a relaxed structure of Ba2NbP2O9F, from Alexandria.

Results
- E_tot: -7.538 eV/atom
- Space group: No. 4
- Theoretical density: 4.1 g cm⁻³
- Density of states at the Fermi level: 0.0000 states/eV/atom

a b c (Å): 7.3709 7.1927 9.1548
angles (deg): 88.69 90.00 90.00
Last column: nearest neighbours and their distance in Å.
Fractional positions:
Ba1 0.6341 0.3288 0.5667  6 O 2.67-2.91, 1 F 2.78
Ba2 0.1341 0.6712 0.4333  6 O 2.67-2.91, 1 F 2.78
Ba3 0.3602 0.6736 0.9246  1 F 2.71, 6 O 2.71-2.99
Ba4 0.8602 0.3264 0.0754  1 F 2.71, 6 O 2.71-2.99
Nb1 0.4935 0.9764 0.2481  1 O 1.79
Nb2 0.9935 0.0236 0.7519  1 O 1.79
P1 0.6483 0.8022 0.5714  4 O 1.53-1.59
P2 0.1483 0.1978 0.4286  4 O 1.53-1.59
P3 0.3519 0.2003 0.9270  4 O 1.52-1.59
P4 0.8519 0.7997 0.0730  4 O 1.52-1.59
O1 0.2805 0.3269 0.5047  1 P 1.53
O2 0.7805 0.6731 0.4953  1 P 1.53
O3 0.7163 0.6722 0.9992  1 P 1.52
O4 0.2163 0.3278 0.0008  1 P 1.52
O5 0.5696 0.9560 0.4613  1 P 1.59
O6 0.0696 0.0440 0.5387  1 P 1.59
O7 0.4339 0.0519 0.0394  1 P 1.59
O8 0.9339 0.9481 0.9606  1 P 1.59
O9 0.7470 0.9276 0.6859  1 P 1.58
O10 0.2470 0.0724 0.3141  1 P 1.58
O11 0.2559 0.0679 0.8148  1 P 1.58
O12 0.7559 0.9321 0.1852  1 P 1.58
O13 0.5064 0.3107 0.8552  1 P 1.53
O14 0.0064 0.6893 0.1448  1 P 1.53
O15 0.4916 0.6923 0.6407  1 P 1.53
O16 0.9916 0.3077 0.3593  1 P 1.53
O17 0.4170 0.7411 0.2317  1 Nb 1.79
O18 0.9170 0.2589 0.7683  1 Nb 1.79
F1 0.5919 0.2584 0.2717  1 Nb 2.17
F2 0.0919 0.7416 0.7283  1 Nb 2.17

---

The following is a GGA-PBE calculation of a relaxed structure of SrNb3O8, from Alexandria.

Results
- E_tot: -8.335 eV/atom
- Space group: No. 147
- Theoretical density: 4.7 g cm⁻³
- Density of states at the Fermi level: 0.0643 states/eV/atom
- Offset from the most stable computed form: 215.4 meV/atom

a b c (Å): 5.5199 5.5199 6.6207
angles (deg): 90.00 90.00 120.00
Last column: nearest neighbours and their distance in Å.
Fractional positions:
Sr1 0.0000 0.0000 0.5000  12 O 3.01-3.27, 2 Nb 3.31
Nb1 0.6667 0.3333 0.8802  1 O 1.80
Nb2 0.3333 0.6667 0.1198  1 O 1.80
Nb3 0.0000 0.0000 0.0000  6 O 2.05
O1 0.6909 0.0413 0.1392  2 Nb 2.03-2.05
O2 0.3504 0.3091 0.1392  2 Nb 2.03-2.05
O3 0.9587 0.6496 0.1392  2 Nb 2.03-2.05
O4 0.3091 0.9587 0.8608  2 Nb 2.03-2.05
O5 0.6496 0.6909 0.8608  2 Nb 2.03-2.05
O6 0.0413 0.3504 0.8608  2 Nb 2.03-2.05
O7 0.6667 0.3333 0.6079  1 Nb 1.80
O8 0.3333 0.6667 0.3921  1 Nb 1.80

---

The following is a GGA-PBE calculation of a relaxed structure of InGa6, from Alexandria.

Results
- E_tot: -2.752 eV/atom
- Space group: No. 229
- Theoretical density: 4.8 g cm⁻³
- Density of states at the Fermi level: 0.5627 states/eV/atom
- Energy relative to the elements: 1.634 eV/f.u.
- Offset from the most stable computed form: 207.9 meV/atom

a b c (Å): 6.2057 6.2057 6.2057
angles (deg): 109.47 109.47 109.47
Last column: nearest neighbours and their distance in Å.
Fractional positions:
In1 0.0000 0.0000 0.0000  24 Ga 4.01
Ga1 0.2500 0.7500 0.5000  4 Ga 2.53
Ga2 0.5000 0.7500 0.2500  4 Ga 2.53
Ga3 0.2500 0.5000 0.7500  4 Ga 2.53
Ga4 0.7500 0.2500 0.5000  4 Ga 2.53
Ga5 0.5000 0.2500 0.7500  4 Ga 2.53
Ga6 0.7500 0.5000 0.2500  4 Ga 2.53